Entry from Alexandria: crystalline NiMoClF2 at its relaxed geometry (PBE+U).

E	-2.779	eV per atom
DOS(E_F)	3.9	states/eV per cell

abc: 4.918 4.918 3.942
angles: 90.00 90.00 90.00
Space group P4/mmm (No. 123)
Asymmetric unit:
Ni1 0.000 0.000 0.000
Mo1 0.500 0.500 0.000
Cl1 0.000 0.000 0.500
F1 0.000 0.500 0.500